# 1
Material: La2Nd4As3N2
Method: DFT, PBE
State: relaxed

The space group is I4/mmm (No. 139) and the conventional cell measures 4.741, 4.741 and 24.941 Å, with angles of 90.00, 90.00 and 90.00 degrees. The inequivalent atoms are La at (0.000, 0.000, 0.195), Nd at (0.000, 0.500, 0.079), As at (0.000, 0.000, 0.326), As at (0.000, 0.000, 0.500) and N at (0.000, 0.000, 0.105).

The calculation puts the calculated total energy at -6.6784 eV/atom. The calculation puts the density of states at the Fermi level at 9.2 states/eV/cell. Its uncorrected formation energy is -1.267 eV per atom. The total magnetization is 0.00 μB/f.u.

=====

# 2
Material: La4Nd2As3N2
Method: DFT, PBE
State: relaxed

The space group is I4/mmm (No. 139) and the conventional cell measures 4.750, 4.750 and 25.198 Å, with angles of 90.00, 90.00 and 90.00 degrees. The inequivalent atoms are La at (0.000, 0.500, 0.081), Nd at (0.000, 0.000, 0.199), As at (0.000, 0.000, 0.322), As at (0.000, 0.000, 0.500) and N at (0.000, 0.000, 0.107).

The calculation puts the calculated total energy at -6.6910 eV/atom. The calculation puts the density of states at the Fermi level at 9.3 states/eV/cell. Its uncorrected formation energy is -1.251 eV per atom. The total magnetization is 0.00 μB/f.u.

=====

# 3
Material: LaNi2AsN
Method: DFT, PBE
State: relaxed

The space group is P4/mmm (No. 123) and the conventional cell measures 4.962, 4.962 and 4.021 Å, with angles of 90.00, 90.00 and 90.00 degrees. The inequivalent atoms are La at (0.000, 0.000, 0.000), Ni at (0.000, 0.500, 0.000), As at (0.500, 0.500, 0.500) and N at (0.000, 0.000, 0.500).

The calculation puts the calculated total energy at -4.6549 eV/atom. The calculation puts the density of states at the Fermi level at 4.0 states/eV/cell. Its uncorrected formation energy is 1.238 eV per atom. The total magnetization is 0.00 μB/f.u.

=====

# 4
Material: LaNi2AsN
Method: DFT, PBE
State: relaxed

The space group is Cmcm (No. 63) and the conventional cell measures 3.707, 11.407 and 6.986 Å, with angles of 90.00, 90.00 and 90.00 degrees. The inequivalent atoms are La at (0.000, 0.038, 0.250), Ni at (0.000, 0.332, 0.053), As at (0.000, 0.232, 0.750) and N at (0.000, 0.500, 0.000).

The calculation puts the calculated total energy at -6.6543 eV/atom. The calculation puts the density of states at the Fermi level at 17.3 states/eV/cell. Its uncorrected formation energy is -0.761 eV per atom. The total magnetization is 0.00 μB/f.u.

=====

# 5
Material: La2NiAsN
Method: DFT, PBE
State: relaxed

The space group is P4/mmm (No. 123) and the conventional cell measures 5.189, 5.189 and 3.763 Å, with angles of 90.00, 90.00 and 90.00 degrees. The inequivalent atoms are La at (0.000, 0.500, 0.000), Ni at (0.000, 0.000, 0.500), As at (0.500, 0.500, 0.500) and N at (0.000, 0.000, 0.000).

The calculation puts the calculated total energy at -6.7753 eV/atom. The calculation puts the density of states at the Fermi level at 3.2 states/eV/cell. Its uncorrected formation energy is -1.053 eV per atom. The total magnetization is 0.02 μB/f.u.

=====

# 6
Material: LaAsN2O
Method: DFT, PBE
State: relaxed

The space group is P4/mmm (No. 123) and the conventional cell measures 4.862, 4.862 and 4.280 Å, with angles of 90.00, 90.00 and 90.00 degrees. The inequivalent atoms are La at (0.000, 0.000, 0.000), As at (0.500, 0.500, 0.500), N at (0.000, 0.500, 0.000) and O at (0.000, 0.000, 0.500).

The calculation puts the calculated total energy at -5.4140 eV/atom. The calculation puts the density of states at the Fermi level at 1.8 states/eV/cell. Its uncorrected formation energy is 0.823 eV per atom. The total magnetization is 1.67 μB/f.u.

=====

# 7
Material: LaAsN2O
Method: DFT, PBE
State: relaxed

The space group is P4/mmm (No. 123) and the conventional cell measures 3.868, 3.868 and 3.999 Å, with angles of 90.00, 90.00 and 90.00 degrees. The inequivalent atoms are La at (0.000, 0.000, 0.000), As at (0.500, 0.500, 0.500), N at (0.000, 0.500, 0.500) and O at (0.500, 0.500, 0.000).

The calculation puts the calculated total energy at -7.0115 eV/atom. The calculation puts the density of states at the Fermi level at 1.3 states/eV/cell. Its uncorrected formation energy is -0.774 eV per atom. The total magnetization is 0.02 μB/f.u.

=====

# 8
Material: La4AsN2O
Method: DFT, PBE
State: relaxed

The space group is I-42m (No. 121) and the conventional cell measures 5.884, 5.884 and 11.752 Å, with angles of 90.00, 90.00 and 90.00 degrees. The inequivalent atoms are La at (0.218, 0.218, 0.356), As at (0.000, 0.000, 0.000), N at (0.000, 0.500, 0.250) and O at (0.000, 0.000, 0.500).

The calculation puts the calculated total energy at -7.3221 eV/atom. The calculation puts the density of states at the Fermi level at 6.6 states/eV/cell. Its uncorrected formation energy is -1.576 eV per atom. The total magnetization is 1.00 μB/f.u.

=====

# 9
Material: LaAsNO2
Method: DFT, PBE
State: relaxed

The space group is P4/mmm (No. 123) and the conventional cell measures 4.000, 4.000 and 3.966 Å, with angles of 90.00, 90.00 and 90.00 degrees. The inequivalent atoms are La at (0.000, 0.000, 0.000), As at (0.500, 0.500, 0.500), N at (0.500, 0.500, 0.000) and O at (0.000, 0.500, 0.500).

The calculation puts the calculated total energy at -6.9791 eV/atom. The calculation puts the density of states at the Fermi level at 0.6 states/eV/cell. Its uncorrected formation energy is -1.415 eV per atom. The total magnetization is 0.00 μB/f.u.

=====

# 10
Material: LaAsNO2
Method: DFT, PBE
State: relaxed

The space group is P4/mmm (No. 123) and the conventional cell measures 4.383, 4.383 and 4.998 Å, with angles of 90.00, 90.00 and 90.00 degrees. The inequivalent atoms are La at (0.000, 0.000, 0.000), As at (0.500, 0.500, 0.500), N at (0.000, 0.000, 0.500) and O at (0.000, 0.500, 0.000).

The calculation puts the calculated total energy at -5.5715 eV/atom. The calculation puts the density of states at the Fermi level at 2.2 states/eV/cell. Its uncorrected formation energy is -0.008 eV per atom. The total magnetization is 0.37 μB/f.u.

=====

# 11
Material: La4AsP2N
Method: DFT, PBE
State: relaxed

The space group is Cmcm (No. 63) and the conventional cell measures 4.232, 14.076 and 14.733 Å, with angles of 90.00, 90.00 and 90.00 degrees. The inequivalent atoms are La at (0.000, 0.000, 0.000), La at (0.000, 0.263, 0.130), La at (0.000, 0.434, 0.750), As at (0.000, 0.111, 0.750), P at (0.000, 0.368, 0.553) and N at (0.000, 0.158, 0.250).

The calculation puts the calculated total energy at -6.8626 eV/atom. The calculation puts the density of states at the Fermi level at 1.9 states/eV/cell. Its uncorrected formation energy is -1.425 eV per atom. The total magnetization is 0.00 μB/f.u.

=====

# 12
Material: La2PaAs2N2
Method: DFT, PBE
State: relaxed

The space group is I4/mmm (No. 139) and the conventional cell measures 4.397, 4.397 and 15.865 Å, with angles of 90.00, 90.00 and 90.00 degrees. The inequivalent atoms are La at (0.000, 0.000, 0.126), Pa at (0.000, 0.000, 0.500), As at (0.000, 0.000, 0.316) and N at (0.000, 0.500, 0.000).

The calculation puts the calculated total energy at -7.8079 eV/atom. The calculation puts the density of states at the Fermi level at 9.7 states/eV/cell. Its uncorrected formation energy is -1.336 eV per atom. The total magnetization is 0.00 μB/f.u.